Record 1
LaWSe at its PBEsol-relaxed geometry, computed with meta-GGA SCAN.

Cell: 4.9405 4.9405 4.9405 Å, 60.00 60.00 60.00°
With the nearest neighbours (Å) after each atom.
Sites, in units of the cell vectors:
La  0.2500  0.2500  0.2500  4 Se 3.03, 4 W 3.03
Se  0.0000  0.0000  0.0000  4 La 3.03
W  0.5000  0.5000  0.5000  4 La 3.03

Summary:
**Formation energy (no corrections)**: 1.120 eV/atom
**DOS(E_F)**: 2.3 states/eV/cell
**Calculated density**: 7.8 g/cm3
**Total energy**: -129.5 eV per cell
**Offset from the most stable computed form**: 470 meV per atom

***

Record 2
ZrScAl2 at its PBEsol-relaxed geometry, computed with meta-GGA SCAN.

Cell: 3.0218 5.0968 5.0968 Å, 107.20 90.00 90.00°
With the nearest neighbours (Å) after each atom.
Sites, in units of the cell vectors:
Sc  0.5000  0.0000  0.0000  8 Al 2.96, 2 Sc 3.02, 2 Zr 3.02
Al  0.0000  0.5000  0.0000  4 Zr 2.96, 4 Sc 2.96, 4 Al 3.02
Al  0.0000  0.0000  0.5000  4 Sc 2.96, 4 Zr 2.96, 4 Al 3.02
Zr  0.5000  0.5000  0.5000  8 Al 2.96, 2 Zr 3.02, 2 Sc 3.02

Summary:
**DOS(E_F)**: 2.8 states/eV/cell
**Calculated density**: 4.2 g/cm3
**Total energy**: -62.3 eV per cell
**Offset from the most stable computed form**: 7 meV per atom
**Formation energy**: -0.459 eV per atom

***

Record 3
KTaSe2 at its PBEsol-relaxed geometry, computed with meta-GGA SCAN.

Cell: 4.0153 4.0153 5.9698 Å, 109.65 109.65 90.00°
With the nearest neighbours (Å) after each atom.
Sites, in units of the cell vectors:
K  0.2500  0.7500  0.5000  4 Se 2.84
Se  0.0000  0.0000  0.0000  4 Ta 2.84
Se  0.7500  0.2500  0.5000  4 K 2.84
Ta  0.5000  0.5000  0.0000  4 Se 2.84

Summary:
**Formation energy (no corrections)**: 0.336 eV/atom
**DOS(E_F)**: 3.5 states/eV/cell
**Calculated density**: 7.4 g/cm3
**Total energy**: -113.7 eV per cell